1.
Material: YPtW2
Method: DFT, PBE
State: relaxed

The space group is C2/m (No. 12) and the conventional cell measures 10.516, 3.034 and 4.799 Å, with angles of 90.00, 105.38 and 90.00 degrees. Symmetry generates all atoms from Y at (0.000, 0.000, 0.000), Pt at (0.000, 0.500, 0.500) and W at (0.234, 0.000, 0.726).

The calculation puts the energy above the lowest structure with this stoichiometry at 157 meV/atom. As for the density of states at the Fermi level: 3.655 states/eV/f.u. Its total energy is -9.474 eV/atom. Its energy of formation from the pure elements is 0.1283 eV per atom. As for the total moment: 0.00 μB/f.u.

---

2.
Material: Y2PtW
Method: DFT, PBE
State: relaxed

The space group is Cmmm (No. 65) and the conventional cell measures 7.062, 7.086 and 3.447 Å, with angles of 90.00, 90.00 and 90.00 degrees. Symmetry generates all atoms from Y at (0.250, 0.250, 0.000), Pt at (0.000, 0.000, 0.500) and W at (0.000, 0.500, 0.500).

The calculation puts the energy above the lowest structure with this stoichiometry at 98 meV/atom. As for the density of states at the Fermi level: 4.622 states/eV/f.u. Its total energy is -8.084 eV/atom. Its energy of formation from the pure elements is -0.1031 eV per atom. As for the total moment: 1.35 μB/f.u.

---

3.
Material: YPtW2
Method: DFT, PBE
State: relaxed

The space group is Cm (No. 8) and the conventional cell measures 9.715, 2.821 and 5.411 Å, with angles of 90.00, 97.95 and 90.00 degrees. Symmetry generates all atoms from Y at (0.000, 0.000, 0.000), Pt at (0.250, 0.000, 0.795), W at (0.032, 0.500, 0.499) and W at (0.274, 0.500, 0.326).

The calculation puts the energy above the lowest structure with this stoichiometry at 231 meV/atom. As for the density of states at the Fermi level: 2.219 states/eV/f.u. Its total energy is -9.400 eV/atom. Its energy of formation from the pure elements is 0.2023 eV per atom. As for the total moment: 0.00 μB/f.u.